Entry 1:
## Ac3B2OsN6 (PBE-GGA)

Data for a relaxed Ac3B2OsN6 crystal.

The formation energy from raw total energies is -9.14 eV/f.u.

The structure belongs to space group P-3m1 (No. 164); the cell edges are 5.5009, 5.5009 and 6.6397 Å and the angles 90.00°, 90.00° and 120.00°. Symmetry generates all atoms from Ac at (0.0000, 0.0000, 0.0000), Ac at (0.3333, 0.6667, 0.6756), B at (0.3333, 0.6667, 0.2819), Os at (0.0000, 0.0000, 0.5000) and N at (0.1785, 0.3570, 0.2958).

***

Entry 2:
## VGaAu (PBE-GGA)

Data for a relaxed VGaAu crystal.

For the formation energy, the calculation gives -0.50 eV/f.u.

The structure belongs to space group P2_1/m (No. 11); the cell edges are 2.858, 4.326 and 7.665 Å and the angles 90.00°, 97.16° and 90.00°. Symmetry generates all atoms from V at (0.118, 0.250, 0.087), Ga at (0.401, 0.250, 0.787) and Au at (0.283, 0.750, 0.592).

***

Entry 3:
## TaBTe2I (PBE-GGA)

Data for a relaxed TaBTe2I crystal.

The formation energy from raw total energies is 5.84 eV/f.u. As for the energy above the lowest structure with this stoichiometry: 18.6 meV/atom.

The structure belongs to space group P4/mmm (No. 123); the cell edges are 4.775, 4.775 and 4.959 Å and the angles 90.00°, 90.00° and 90.00°. Symmetry generates all atoms from Ta at (0.000, 0.000, 0.000), B at (0.500, 0.500, 0.500), Te at (0.000, 0.500, 0.500) and I at (0.500, 0.500, 0.000).

***

Entry 4:
## AcFeCuGe3 (PBE-GGA)

Data for a relaxed AcFeCuGe3 crystal.

For the formation energy, the calculation gives -0.95 eV/f.u.

The structure belongs to space group Cmcm (No. 63); the cell edges are 6.441, 11.809 and 6.480 Å and the angles 90.00°, 90.00° and 90.00°. Symmetry generates all atoms from Ac at (0.000, 0.246, 0.250), Fe at (0.000, 0.414, 0.750), Cu at (0.000, 0.034, 0.750), Ge at (0.000, 0.227, 0.750) and Ge at (0.215, 0.500, 0.000).

***

Entry 5:
## Cu2SiPt (PBE-GGA)

Data for a relaxed Cu2SiPt crystal.

The formation energy from raw total energies is -0.08 eV/f.u.

The structure belongs to space group P4/mmm (No. 123); the cell edges are 2.739, 2.739 and 7.174 Å and the angles 90.00°, 90.00° and 90.00°. Symmetry generates all atoms from Cu at (0.000, 0.000, 0.238), Si at (0.500, 0.500, 0.000) and Pt at (0.500, 0.500, 0.500).

***

Entry 6:
## VZn3Br (PBE-GGA)

Data for a relaxed VZn3Br crystal.

The formation energy from raw total energies is 3.21 eV/f.u. As for the energy above the lowest structure with this stoichiometry: 0.0 meV/atom.

The structure belongs to space group Pm-3m (No. 221); the cell edges are 5.155, 5.155 and 5.155 Å and the angles 90.00°, 90.00° and 90.00°. Symmetry generates all atoms from V at (0.000, 0.000, 0.000), Zn at (0.000, 0.000, 0.500) and Br at (0.500, 0.500, 0.500).